No. 1
PBE-GGA BaTcN2, relaxed; offset from the most stable computed form = 0.0 kJ per mole of atoms; uncorrected formation energy = -0.27 eV/atom; total energy = -7.50 eV/atom
1.0
4.666 -4.530 0.000
4.666 4.530 0.000
-0.704 0.000 5.057
Ba Tc N
2 2 4
Cartesian
2.333 2.265 0.000 Ba
1.981 -2.265 2.529 Ba
4.138 4.480 3.793 Tc
4.490 -4.480 1.264 Tc
3.289 3.494 2.352 N
5.690 3.494 0.177 N
2.937 -3.494 4.880 N
5.338 -3.494 2.706 N



No. 2
PBE-GGA BaTc3N, relaxed; offset from the most stable computed form = 310.3 kJ per mole of atoms; uncorrected formation energy = 4.04 eV/atom; total energy = -4.23 eV/atom
1.0
5.324 0.000 0.000
0.000 5.324 0.000
0.000 0.000 5.324
Ba Tc N
1 3 1
Cartesian
0.000 0.000 0.000 Ba
0.000 0.000 2.662 Tc
0.000 2.662 0.000 Tc
2.662 0.000 0.000 Tc
2.662 2.662 2.662 N



No. 3
PBE-GGA Ba2Tc2N, relaxed; offset from the most stable computed form = 0.0 kJ per mole of atoms; uncorrected formation energy = 0.88 eV/atom; total energy = -5.70 eV/atom
1.0
-3.145 3.145 3.332
3.145 -3.145 3.332
3.145 3.145 -3.332
Ba Tc N
2 2 1
Cartesian
3.145 0.000 1.666 Ba
0.000 3.145 1.666 Ba
0.000 0.000 1.486 Tc
0.000 0.000 5.179 Tc
0.000 0.000 3.332 N



No. 4
PBE-GGA BaTc2N2, relaxed; offset from the most stable computed form = 0.0 kJ per mole of atoms; uncorrected formation energy = 0.46 eV/atom; total energy = -7.40 eV/atom
1.0
-2.089 2.089 4.136
2.089 -2.089 4.136
2.089 2.089 -4.136
Ba Tc N
1 2 2
Cartesian
0.000 0.000 0.000 Ba
0.000 0.000 2.972 Tc
0.000 0.000 5.299 Tc
2.089 0.000 2.068 N
0.000 2.089 2.068 N



No. 5
PBE-GGA BaTc3N, relaxed; offset from the most stable computed form = 0.0 kJ per mole of atoms; uncorrected formation energy = 0.82 eV/atom; total energy = -7.45 eV/atom
1.0
4.339 0.000 0.000
0.000 4.339 0.000
0.000 0.000 4.339
Ba Tc N
1 3 1
Cartesian
0.000 0.000 0.000 Ba
0.000 2.169 2.169 Tc
2.169 0.000 2.169 Tc
2.169 2.169 0.000 Tc
2.169 2.169 2.169 N



No. 6
PBE-GGA Ba2TcN, relaxed; uncorrected formation energy = -0.11 eV/atom; total energy = -5.74 eV/atom
1.0
-5.662 5.662 1.949
5.662 -5.662 1.949
5.662 5.662 -1.949
Ba Tc N
4 2 2
Cartesian
-0.546 2.831 0.487 Ba
2.831 5.117 1.462 Ba
0.546 8.494 0.487 Ba
-2.831 6.208 1.462 Ba
5.662 0.000 0.975 Tc
0.000 0.000 1.949 Tc
0.000 0.000 0.000 N
0.000 5.662 0.975 N